A plane-wave DFT calculation with PBE+U was carried out for an optimized crystal structure of PmV2SiO8.

Summary:
VASP energy: -90.5 eV/cell
DOS(E_F): 5.23 states/eV/f.u.

Cell: 5.669 5.669 5.885 Å, 90.00 90.00 120.00°
Sites, in units of the cell vectors:
Pm  0.000  0.000  0.500
V  0.667  0.333  0.901
V  0.333  0.667  0.099
Si  0.000  0.000  0.000
O  0.850  0.700  0.814
O  0.300  0.150  0.814
O  0.850  0.150  0.814
O  0.150  0.300  0.186
O  0.700  0.850  0.186
O  0.150  0.850  0.186
O  0.667  0.333  0.178
O  0.333  0.667  0.822